a:
DFT (PBE) results for crystalline Tb4Pr3Mg at its relaxed geometry.

a b c (Å): 3.445 5.974 13.096
angles (deg): 96.44 97.56 90.00
Fractional positions:
Pr (0.851, 0.283, 0.701)
Pr (0.149, 0.717, 0.299)
Pr (0.000, 0.500, 0.000)
Tb (0.282, 0.763, 0.564)
Tb (0.718, 0.237, 0.436)
Tb (0.102, 0.191, 0.203)
Tb (0.898, 0.809, 0.797)
Mg (0.500, 0.000, 0.000)

Results
Calculated volume: 33.18 Å³/atom
Total moment: 0.00 μB per formula unit
N(E_F): 10.6 states/eV/cell

b:
DFT (PBE) results for crystalline Tb4Pr3Mg at its relaxed geometry.

a b c (Å): 6.321 7.230 11.453
angles (deg): 90.00 90.00 90.00
Fractional positions:
Mg (0.359, 0.875, 0.500)
Mg (0.859, 0.125, 0.000)
Tb (0.018, 0.374, 0.245)
Tb (0.018, 0.374, 0.755)
Tb (0.366, 0.871, 0.000)
Tb (0.858, 0.626, 0.500)
Tb (0.518, 0.626, 0.745)
Tb (0.866, 0.129, 0.500)
Tb (0.518, 0.626, 0.255)
Tb (0.358, 0.374, 0.000)
Pr (0.340, 0.381, 0.500)
Pr (0.840, 0.619, 0.000)
Pr (0.528, 0.121, 0.746)
Pr (0.528, 0.121, 0.254)
Pr (0.028, 0.879, 0.754)
Pr (0.028, 0.879, 0.246)

Results
Calculated volume: 32.71 Å³/atom
Total moment: 0.00 μB per formula unit
N(E_F): 24.3 states/eV/cell

Most stable: b

a:
DFT (PBE) results for crystalline Tb2Pr2Mg at its relaxed geometry.

a b c (Å): 3.659 3.659 12.290
angles (deg): 98.56 98.56 90.00
Fractional positions:
Pr (0.406, 0.406, 0.813)
Pr (0.594, 0.594, 0.187)
Tb (0.801, 0.801, 0.603)
Tb (0.199, 0.199, 0.397)
Mg (0.000, 0.000, 0.000)

Results
Calculated volume: 32.18 Å³/atom
Total moment: 0.00 μB per formula unit
N(E_F): 5.9 states/eV/cell

b:
DFT (PBE) results for crystalline Tb2Pr2Mg at its relaxed geometry.

a b c (Å): 4.448 4.448 9.425
angles (deg): 103.65 103.65 90.00
Fractional positions:
Mg (0.000, 0.000, 0.000)
Tb (0.750, 0.250, 0.500)
Tb (0.250, 0.750, 0.500)
Pr (0.408, 0.408, 0.816)
Pr (0.592, 0.592, 0.184)

Results
Calculated volume: 35.15 Å³/atom
Total moment: 0.00 μB per formula unit
N(E_F): 7.2 states/eV/cell

Most stable: a

a:
DFT (PBE) results for crystalline Tb2PrMg2 at its relaxed geometry.

a b c (Å): 3.794 5.530 14.163
angles (deg): 90.00 97.72 90.00
Fractional positions:
Pr (0.849, 0.750, 0.700)
Pr (0.151, 0.250, 0.300)
Tb (0.955, 0.250, 0.910)
Tb (0.763, 0.250, 0.525)
Tb (0.237, 0.750, 0.475)
Tb (0.045, 0.750, 0.090)
Mg (0.641, 0.750, 0.281)
Mg (0.550, 0.250, 0.101)
Mg (0.359, 0.250, 0.719)
Mg (0.450, 0.750, 0.899)

Results
Calculated volume: 29.45 Å³/atom
Total moment: 0.00 μB per formula unit
N(E_F): 11.1 states/eV/cell

b:
DFT (PBE) results for crystalline Tb2PrMg2 at its relaxed geometry.

a b c (Å): 4.349 4.349 17.098
angles (deg): 97.31 97.31 90.00
Fractional positions:
Tb (0.925, 0.925, 0.850)
Tb (0.750, 0.250, 0.500)
Tb (0.250, 0.750, 0.500)
Tb (0.075, 0.075, 0.150)
Mg (0.175, 0.175, 0.350)
Mg (0.500, 0.000, 0.000)
Mg (0.000, 0.500, 0.000)
Mg (0.825, 0.825, 0.650)
Pr (0.371, 0.371, 0.742)
Pr (0.629, 0.629, 0.258)

Results
Calculated volume: 31.82 Å³/atom
Total moment: 0.00 μB per formula unit
N(E_F): 14.4 states/eV/cell

Most stable: a

a:
DFT (PBE) results for crystalline Tb2Pr6Mg at its relaxed geometry.

a b c (Å): 5.189 10.861 10.861
angles (deg): 90.00 90.00 90.00
Fractional positions:
Tb (0.500, 0.170, 0.330)
Tb (0.000, 0.330, 0.830)
Tb (0.500, 0.830, 0.670)
Tb (0.000, 0.670, 0.170)
Pr (0.000, 0.002, 0.169)
Pr (0.500, 0.161, 0.661)
Pr (0.500, 0.839, 0.339)
Pr (0.000, 0.998, 0.831)
Pr (0.500, 0.502, 0.331)
Pr (0.500, 0.498, 0.669)
Pr (0.000, 0.669, 0.502)
Pr (0.000, 0.339, 0.161)
Pr (0.000, 0.331, 0.498)
Pr (0.000, 0.661, 0.839)
Pr (0.500, 0.169, 0.998)
Pr (0.500, 0.831, 0.002)
Mg (0.500, 0.500, 0.000)
Mg (0.000, 0.000, 0.500)

Results
Calculated volume: 34.00 Å³/atom
Total moment: 0.00 μB per formula unit
N(E_F): 26.4 states/eV/cell

b:
DFT (PBE) results for crystalline Tb2Pr6Mg at its relaxed geometry.

a b c (Å): 6.229 11.709 11.709
angles (deg): 48.21 105.46 105.46
Fractional positions:
Tb (0.445, 0.829, 0.671)
Tb (0.555, 0.171, 0.329)
Tb (0.945, 0.671, 0.829)
Tb (0.055, 0.329, 0.171)
Mg (0.750, 0.750, 0.250)
Mg (0.250, 0.250, 0.750)
Pr (0.429, 0.654, 0.504)
Pr (0.581, 0.581, 0.081)
Pr (0.419, 0.419, 0.919)
Pr (0.919, 0.919, 0.419)
Pr (0.571, 0.346, 0.496)
Pr (0.271, 0.847, 0.995)
Pr (0.729, 0.153, 0.005)
Pr (0.229, 0.005, 0.153)
Pr (0.929, 0.504, 0.654)
Pr (0.081, 0.081, 0.581)
Pr (0.771, 0.995, 0.847)
Pr (0.071, 0.496, 0.346)

Results
Calculated volume: 33.83 Å³/atom
Total moment: 0.00 μB per formula unit
N(E_F): 23.3 states/eV/cell

Most stable: a